The following is a GGA-PBE calculation of SmZrTcNi after structural relaxation, from Alexandria.

a b c (Å): 4.751 4.751 4.751
angles (deg): 60.00 60.00 60.00
Atoms (fractional coordinates):
Sm  0.000  0.000  0.000
Zr  0.500  0.500  0.500
Tc  0.250  0.250  0.250
Ni  0.750  0.750  0.750

D(E_F): 2.647 states/eV per cell
energy of formation from the pure elements: -0.15 eV/atom
space group: F-43m

---

The following is a GGA-PBE calculation of LiCa4Mg2 after structural relaxation, from Alexandria.

a b c (Å): 7.881 7.881 8.917
angles (deg): 110.19 110.19 27.93
Atoms (fractional coordinates):
Li  0.000  0.000  0.000
Ca  0.096  0.096  0.699
Ca  0.358  0.358  0.646
Ca  0.642  0.642  0.354
Ca  0.904  0.904  0.301
Mg  0.212  0.212  0.104
Mg  0.788  0.788  0.896

D(E_F): 5.704 states/eV per cell
energy of formation from the pure elements: 0.05 eV/atom
space group: C2/m

---

The following is a GGA-PBE calculation of LiInPd5 after structural relaxation, from Alexandria.

a b c (Å): 5.748 5.748 5.748
angles (deg): 126.71 125.77 79.50
Atoms (fractional coordinates):
Li  0.000  0.000  0.000
In  0.821  0.321  0.500
Pd  0.018  0.764  0.254
Pd  0.261  0.261  0.000
Pd  0.510  0.764  0.746
Pd  0.528  0.275  0.747
Pd  0.528  0.781  0.253

D(E_F): 5.630 states/eV per cell
energy of formation from the pure elements: -0.15 eV/atom
space group: Imm2

---

The following is a GGA-PBE calculation of La12Te3O5 after structural relaxation, from Alexandria.

a b c (Å): 14.295 14.295 14.295
angles (deg): 109.47 109.47 109.47
Atoms (fractional coordinates):
La  0.010  0.198  0.110
La  0.010  0.313  0.901
La  0.088  0.698  0.687
La  0.088  0.890  0.401
La  0.099  0.610  0.412
La  0.099  0.990  0.687
La  0.110  0.010  0.198
La  0.110  0.599  0.912
La  0.187  0.198  0.588
La  0.187  0.490  0.599
La  0.198  0.110  0.010
La  0.198  0.588  0.187
La  0.302  0.313  0.912
La  0.302  0.490  0.390
La  0.313  0.901  0.010
La  0.313  0.912  0.302
La  0.390  0.302  0.490
La  0.390  0.588  0.901
La  0.401  0.088  0.890
La  0.401  0.813  0.510
La  0.412  0.099  0.610
La  0.412  0.813  0.802
La  0.490  0.390  0.302
La  0.490  0.599  0.187
La  0.510  0.401  0.813
La  0.510  0.610  0.698
La  0.588  0.187  0.198
La  0.588  0.901  0.390
La  0.599  0.187  0.490
La  0.599  0.912  0.110
La  0.610  0.412  0.099
La  0.610  0.698  0.510
La  0.687  0.088  0.698
La  0.687  0.099  0.990
La  0.698  0.510  0.610
La  0.698  0.687  0.088
La  0.802  0.412  0.813
La  0.802  0.890  0.990
La  0.813  0.510  0.401
La  0.813  0.802  0.412
La  0.890  0.401  0.088
La  0.890  0.990  0.802
La  0.901  0.010  0.313
La  0.901  0.390  0.588
La  0.912  0.110  0.599
La  0.912  0.302  0.313
La  0.990  0.687  0.099
La  0.990  0.802  0.890
Te  0.125  0.250  0.375
Te  0.125  0.375  0.750
Te  0.250  0.375  0.125
Te  0.250  0.875  0.625
Te  0.375  0.125  0.250
Te  0.375  0.750  0.125
Te  0.625  0.250  0.875
Te  0.625  0.875  0.750
Te  0.750  0.125  0.375
Te  0.750  0.625  0.875
Te  0.875  0.625  0.250
Te  0.875  0.750  0.625
O  0.000  0.000  0.000
O  0.000  0.000  0.500
O  0.000  0.500  0.000
O  0.000  0.500  0.500
O  0.125  0.750  0.875
O  0.125  0.875  0.250
O  0.250  0.125  0.875
O  0.250  0.625  0.375
O  0.375  0.250  0.625
O  0.375  0.625  0.750
O  0.500  0.000  0.000
O  0.500  0.000  0.500
O  0.500  0.500  0.000
O  0.500  0.500  0.500
O  0.625  0.375  0.250
O  0.625  0.750  0.375
O  0.750  0.375  0.625
O  0.750  0.875  0.125
O  0.875  0.125  0.750
O  0.875  0.250  0.125

D(E_F): 89.416 states/eV per cell
space group: Ia-3d
ΔE_f (raw): -3415 kJ/mol of formula units